Density functional theory data (GGA-PBEsol) for a geometry-optimized KNiMo2 structure.

Cell lengths 2.734, 3.160, 8.826 Å; angles 90.00, 94.92, 90.00 degrees
Atoms (fractional coordinates):
Mo 0.047 0.000 0.077
Ni 0.977 0.000 0.435
Mo 0.423 0.500 0.270
K 0.552 0.500 0.718

Values from the calculation:
DOS at the Fermi energy ... 2.66 states/eV per cell
Formation energy from the elements ... 713 meV per atom
Excess energy over the best structure of this formula in the dataset ... 0 meV/atom
Calculated total energy ... -6.993 eV per atom

Density functional theory data (GGA-PBEsol) for a geometry-optimized MgSiW2 structure.

Cell lengths 4.384, 4.384, 4.384 Å; angles 89.91, 60.05, 119.95 degrees
Atoms (fractional coordinates):
W 0.000 0.000 0.000
Si 0.500 0.750 0.750
W 0.500 0.250 0.250
Mg 0.000 0.500 0.500

Values from the calculation:
DOS at the Fermi energy ... 0.66 states/eV per cell
Calculated total energy ... -8.579 eV per atom
ΔE_f (raw) ... 4.4 kcal/mol of atoms

Density functional theory data (GGA-PBEsol) for a geometry-optimized CaCu2W structure.

Cell lengths 2.834, 2.834, 9.225 Å; angles 81.16, 81.16, 60.00 degrees
Atoms (fractional coordinates):
Ca 0.254 0.254 0.238
W 0.490 0.490 0.531
Cu 0.746 0.746 0.762
Cu 0.010 0.010 0.969

Values from the calculation:
DOS at the Fermi energy ... 3.29 states/eV per cell
Formation energy from the elements ... 677 meV per atom
Excess energy over the best structure of this formula in the dataset ... 264 meV/atom
Calculated total energy ... -5.475 eV per atom

Density functional theory data (GGA-PBEsol) for a geometry-optimized CoMoPdS2 structure.

Cell lengths 4.189, 4.189, 4.602 Å; angles 90.00, 90.00, 90.00 degrees
Each line ends with the local moment (μB).
Atoms (fractional coordinates):
S 0.000 0.500 0.000  -0.15
S 0.500 0.000 0.000  -0.15
Co 0.000 0.000 0.000  -0.64
Pd 0.000 0.000 0.500  0.04
Mo 0.500 0.500 0.500  2.71

Values from the calculation:
DOS at the Fermi energy ... 4.76 states/eV per cell
Calculated total energy ... -6.083 eV per atom
ΔE_f (raw) ... 17.6 kcal/mol of atoms

Density functional theory data (GGA-PBEsol) for a geometry-optimized SrZn2Cd structure.

Cell lengths 4.526, 4.526, 5.975 Å; angles 67.75, 67.75, 60.00 degrees
Atoms (fractional coordinates):
Cd 0.500 0.500 0.500
Zn 0.798 0.798 0.607
Zn 0.202 0.202 0.393
Sr 0.000 0.000 0.000

Values from the calculation:
DOS at the Fermi energy ... 1.81 states/eV per cell
Formation energy from the elements ... -173 meV per atom
Calculated total energy ... -1.723 eV per atom

Density functional theory data (GGA-PBEsol) for a geometry-optimized Zr2CrAu structure.

Cell lengths 4.636, 4.636, 4.636 Å; angles 60.00, 60.00, 60.00 degrees
Each line ends with the local moment (μB).
Atoms (fractional coordinates):
Au 0.500 0.500 0.500  0.08
Zr 0.000 0.000 0.000  -0.29
Cr 0.250 0.250 0.250  2.81
Zr 0.750 0.750 0.750  -0.27

Values from the calculation:
DOS at the Fermi energy ... 4.75 states/eV per cell
Formation energy from the elements ... 20 meV per atom
Excess energy over the best structure of this formula in the dataset ... 225 meV/atom
Calculated total energy ... -8.067 eV per atom

Density functional theory data (GGA-PBEsol) for a geometry-optimized LaSc2 structure.

Cell lengths 3.379, 3.379, 7.474 Å; angles 103.06, 103.06, 90.00 degrees
Atoms (fractional coordinates):
Sc 0.674 0.674 0.347
Sc 0.326 0.326 0.653
La 0.000 0.000 0.000

Values from the calculation:
DOS at the Fermi energy ... 5.73 states/eV per cell
Formation energy from the elements ... 83 meV per atom
Excess energy over the best structure of this formula in the dataset ... 26 meV/atom
Calculated total energy ... -6.103 eV per atom

Density functional theory data (GGA-PBEsol) for a geometry-optimized NiIrW2 structure.

Cell lengths 3.786, 3.786, 3.883 Å; angles 90.00, 90.00, 90.00 degrees
Atoms (fractional coordinates):
W 0.000 0.500 0.000
W 0.500 0.000 0.000
Ir 0.500 0.500 0.500
Ni 0.000 0.000 0.500

Values from the calculation:
DOS at the Fermi energy ... 2.32 states/eV per cell
Formation energy from the elements ... -120 meV per atom
Calculated total energy ... -11.019 eV per atom

Density functional theory data (GGA-PBEsol) for a geometry-optimized TiTe2WN structure.

Cell lengths 3.622, 5.342, 5.342 Å; angles 90.00, 90.00, 90.00 degrees
Each line ends with the local moment (μB).
Atoms (fractional coordinates):
Te 0.000 0.500 0.000  -0.07
Ti 0.000 0.000 0.000  0.02
Te 0.000 0.000 0.500  -0.07
W 0.500 0.500 0.500  2.18
N 0.500 0.000 0.000  0.10

Values from the calculation:
DOS at the Fermi energy ... 3.16 states/eV per cell
Calculated total energy ... -6.806 eV per atom
ΔE_f (raw) ... 17.0 kcal/mol of atoms

Density functional theory data (GGA-PBEsol) for a geometry-optimized Ca2TlSb2 structure.

Cell lengths 3.522, 9.115, 9.115 Å; angles 90.00, 90.00, 90.00 degrees
Atoms (fractional coordinates):
Ca 0.500 0.861 0.361
Sb 0.000 0.341 0.841
Ca 0.500 0.361 0.139
Tl 0.000 0.500 0.500
Sb 0.000 0.159 0.341
Sb 0.000 0.841 0.659
Ca 0.500 0.139 0.639
Tl 0.000 0.000 0.000
Sb 0.000 0.659 0.159
Ca 0.500 0.639 0.861

Values from the calculation:
DOS at the Fermi energy ... 3.84 states/eV per cell
Excess energy over the best structure of this formula in the dataset ... 0 meV/atom
Calculated total energy ... -3.867 eV per atom
ΔE_f (raw) ... -15.3 kcal/mol of atoms

Density functional theory data (GGA-PBEsol) for a geometry-optimized USbPd structure.

Cell lengths 4.929, 4.929, 5.640 Å; angles 90.00, 90.00, 120.00 degrees
Each line ends with the local moment (μB).
Atoms (fractional coordinates):
Pd 0.667 0.333 0.250  0.01
U 0.000 0.000 0.000  2.36
Pd 0.333 0.667 0.750  0.01
Sb 0.333 0.667 0.250  -0.05
U 0.000 0.000 0.500  2.36
Sb 0.667 0.333 0.750  -0.05

Values from the calculation:
DOS at the Fermi energy ... 8.14 states/eV per cell
Calculated total energy ... -7.976 eV per atom
ΔE_f (raw) ... -9.6 kcal/mol of atoms

Density functional theory data (GGA-PBEsol) for a geometry-optimized TcHN3 structure.

Cell lengths 3.813, 3.813, 3.813 Å; angles 90.00, 90.00, 90.00 degrees
Each line ends with the local moment (μB).
Atoms (fractional coordinates):
N 0.000 0.000 0.500  -0.25
Tc 0.000 0.000 0.000  0.26
N 0.500 0.000 0.000  -0.25
N 0.000 0.500 0.000  -0.25
H 0.500 0.500 0.500  0.28

Values from the calculation:
DOS at the Fermi energy ... 3.57 states/eV per cell
Calculated total energy ... -6.685 eV per atom

Density functional theory data (GGA-PBEsol) for a geometry-optimized CaMg2Sb structure.

Cell lengths 4.438, 4.438, 6.058 Å; angles 111.49, 111.49, 90.00 degrees
Atoms (fractional coordinates):
Mg 0.750 0.250 0.500
Mg 0.250 0.750 0.500
Sb 0.500 0.500 0.000
Ca 0.000 0.000 0.000

Values from the calculation:
DOS at the Fermi energy ... 2.04 states/eV per cell
Excess energy over the best structure of this formula in the dataset ... 0 meV/atom
Calculated total energy ... -2.880 eV per atom
ΔE_f (raw) ... -8.0 kcal/mol of atoms

Density functional theory data (GGA-PBEsol) for a geometry-optimized ZnBiSeN2 structure.

Cell lengths 4.079, 4.079, 4.946 Å; angles 90.00, 90.00, 90.00 degrees
Each line ends with the local moment (μB).
Atoms (fractional coordinates):
Zn 0.000 0.000 0.000  0.06
N 0.500 0.000 0.000  0.88
Se 0.000 0.000 0.500  0.17
N 0.000 0.500 0.000  0.88
Bi 0.500 0.500 0.500  -0.20

Values from the calculation:
DOS at the Fermi energy ... 2.46 states/eV per cell
Calculated total energy ... -4.159 eV per atom
ΔE_f (raw) ... 27.6 kcal/mol of atoms

Density functional theory data (GGA-PBEsol) for a geometry-optimized Cr2ReW structure.

Cell lengths 2.622, 4.143, 4.997 Å; angles 90.00, 99.84, 90.00 degrees
Atoms (fractional coordinates):
Re 0.500 0.500 0.000
Cr 0.242 0.000 0.246
W 0.000 0.500 0.500
Cr 0.758 0.000 0.754

Values from the calculation:
DOS at the Fermi energy ... 3.78 states/eV per cell
Formation energy from the elements ... 108 meV per atom
Calculated total energy ... -11.798 eV per atom

Density functional theory data (GGA-PBEsol) for a geometry-optimized MnS2 structure.

Cell lengths 5.434, 5.434, 5.434 Å; angles 90.00, 90.00, 90.00 degrees
Each line ends with the local moment (μB).
Atoms (fractional coordinates):
Mn 0.500 0.000 0.500  1.10
Mn 0.500 0.500 0.000  1.10
S 0.380 0.380 0.380  -0.06
S 0.880 0.120 0.620  -0.06
S 0.880 0.380 0.120  -0.06
Mn 0.000 0.500 0.500  1.10
S 0.120 0.880 0.380  -0.06
S 0.620 0.880 0.120  -0.06
S 0.620 0.620 0.620  -0.06
S 0.380 0.120 0.880  -0.06
Mn 0.000 0.000 0.000  1.10
S 0.120 0.620 0.880  -0.06

Values from the calculation:
DOS at the Fermi energy ... 6.98 states/eV per cell
Calculated total energy ... -6.739 eV per atom
ΔE_f (raw) ... -13.0 kcal/mol of atoms

Density functional theory data (GGA-PBEsol) for a geometry-optimized TaTl2OsSe structure.

Cell lengths 4.739, 5.445, 5.445 Å; angles 90.00, 90.00, 90.00 degrees
Each line ends with the local moment (μB).
Atoms (fractional coordinates):
Tl 0.000 0.000 0.500  0.00
Os 0.500 0.500 0.500  2.87
Se 0.500 0.000 0.000  0.02
Tl 0.000 0.500 0.000  0.00
Ta 0.000 0.000 0.000  0.27

Values from the calculation:
DOS at the Fermi energy ... 6.52 states/eV per cell
Calculated total energy ... -5.119 eV per atom
ΔE_f (raw) ... 38.2 kcal/mol of atoms

Density functional theory data (GGA-PBEsol) for a geometry-optimized SrTl2Fe structure.

Cell lengths 4.622, 4.622, 4.627 Å; angles 90.00, 90.00, 90.00 degrees
Each line ends with the local moment (μB).
Atoms (fractional coordinates):
Fe 0.500 0.000 0.500  2.93
Sr 0.000 0.500 0.500  -0.06
Tl 0.000 0.000 0.000  -0.03
Tl 0.500 0.500 0.000  -0.03

Values from the calculation:
DOS at the Fermi energy ... 4.80 states/eV per cell
Formation energy from the elements ... 338 meV per atom
Calculated total energy ... -3.678 eV per atom

Density functional theory data (GGA-PBEsol) for a geometry-optimized TlCCl2 structure.

Cell lengths 4.877, 4.877, 4.877 Å; angles 60.00, 60.00, 60.00 degrees
Each line ends with the local moment (μB).
Atoms (fractional coordinates):
Cl 0.750 0.750 0.750  -0.09
Cl 0.250 0.250 0.250  -0.09
Tl 0.500 0.500 0.500  -0.07
C 0.000 0.000 0.000  0.67

Values from the calculation:
DOS at the Fermi energy ... 3.59 states/eV per cell
Calculated total energy ... -2.750 eV per atom
ΔE_f (raw) ... 30.5 kcal/mol of atoms

Density functional theory data (GGA-PBEsol) for a geometry-optimized BaLaCr2Ru structure.

Cell lengths 4.595, 4.595, 5.793 Å; angles 90.00, 90.00, 90.00 degrees
Each line ends with the local moment (μB).
Atoms (fractional coordinates):
Ru 0.500 0.500 0.500  1.09
Cr 0.500 0.000 0.000  2.31
Ba 0.000 0.000 0.500  -0.06
Cr 0.000 0.500 0.000  2.31
La 0.000 0.000 0.000  0.08

Values from the calculation:
DOS at the Fermi energy ... 8.84 states/eV per cell
Formation energy from the elements ... 2172 meV per atom
Calculated total energy ... -5.459 eV per atom